(1)
The following is a GGA-PBE calculation of a relaxed structure of Ac2SnAu8, from Alexandria.

The structure in CIF format:
```
data_Ac2SnAu8
_chemical_formula_sum 'Ac4 Sn2 Au16'
_cell_length_a 5.720
_cell_length_b 18.907
_cell_length_c 5.469
_cell_angle_alpha 90.00
_cell_angle_beta 120.31
_cell_angle_gamma 90.00
_space_group_name_H-M_alt 'C 1 2/m 1'
_space_group_IT_number 12
loop_
_space_group_symop_operation_xyz
'x,y,z'
'-x,-y,-z'
'-x,y,-z'
'x,-y,z'
'x+1/2,y+1/2,z'
'-x+1/2,-y+1/2,-z'
'-x+1/2,y+1/2,-z'
'x+1/2,-y+1/2,z'
loop_
_atom_site_label
_atom_site_type_symbol
_atom_site_fract_x
_atom_site_fract_y
_atom_site_fract_z
_atom_site_occupancy
Ac1 Ac 0.000 0.153 0.000 1
Sn1 Sn 0.000 0.000 0.500 1
Au1 Au 0.000 0.249 0.500 1
Au2 Au 0.150 0.377 0.312 1
Au3 Au 0.196 0.500 0.824 1
```

ΔH_f (0 K): -5.83 eV per formula unit
density of states at the Fermi level: 7.97 states/eV per cell
ρ: 13.974 g cm⁻³
total moment: 0.000 μB per formula unit
energy: -4.024 eV per atom
crystal system: monoclinic



(2)
The following is a GGA-PBE calculation of a relaxed structure of AcSnAu, from Alexandria.

The structure in CIF format:
```
data_AcSnAu
_chemical_formula_sum 'Ac1 Sn1 Au1'
_cell_length_a 4.8084
_cell_length_b 4.8084
_cell_length_c 4.3594
_cell_angle_alpha 90.00
_cell_angle_beta 90.00
_cell_angle_gamma 120.00
_space_group_name_H-M_alt 'P 3 m 1'
_space_group_IT_number 156
loop_
_space_group_symop_operation_xyz
'x,y,z'
'-y,x-y,z'
'-x+y,-x,z'
'-y,-x,z'
'-x+y,y,z'
'x,x-y,z'
loop_
_atom_site_label
_atom_site_type_symbol
_atom_site_fract_x
_atom_site_fract_y
_atom_site_fract_z
_atom_site_occupancy
Ac1 Ac 0.0000 0.0000 0.0000 1
Sn1 Sn 0.6667 0.3333 0.4835 1
Au1 Au 0.3333 0.6667 0.5286 1
```

ΔH_f (0 K): -2.38 eV per formula unit
density of states at the Fermi level: 2.25 states/eV per cell
ρ: 10.323 g cm⁻³
total moment: 0.000 μB per formula unit
E above lowest polymorph: 0.65 kcal/mol of atoms
energy: -4.588 eV per atom
crystal system: trigonal



(3)
The following is a GGA-PBE calculation of a relaxed structure of AcSn3Au8, from Alexandria.

The structure in CIF format:
```
data_AcSn3Au8
_chemical_formula_sum 'Ac1 Sn3 Au8'
_cell_length_a 5.7392
_cell_length_b 5.7392
_cell_length_c 9.3628
_cell_angle_alpha 90.00
_cell_angle_beta 90.00
_cell_angle_gamma 120.00
_space_group_name_H-M_alt 'P 3 m 1'
_space_group_IT_number 156
loop_
_space_group_symop_operation_xyz
'x,y,z'
'-y,x-y,z'
'-x+y,-x,z'
'-y,-x,z'
'-x+y,y,z'
'x,x-y,z'
loop_
_atom_site_label
_atom_site_type_symbol
_atom_site_fract_x
_atom_site_fract_y
_atom_site_fract_z
_atom_site_occupancy
Ac1 Ac 0.0000 0.0000 0.0000 1
Sn1 Sn 0.0000 0.0000 0.4021 1
Sn2 Sn 0.6667 0.3333 0.4614 1
Sn3 Sn 0.6667 0.3333 0.8249 1
Au1 Au 0.1644 0.3288 0.6812 1
Au2 Au 0.3333 0.6667 0.4318 1
Au3 Au 0.3333 0.6667 0.9314 1
Au4 Au 0.5026 0.0053 0.1822 1
```

ΔH_f (0 K): -3.03 eV per formula unit
density of states at the Fermi level: 4.52 states/eV per cell
ρ: 13.423 g cm⁻³
total moment: 0.000 μB per formula unit
energy: -3.780 eV per atom
crystal system: trigonal



(4)
The following is a GGA-PBE calculation of a relaxed structure of AcSn4Au, from Alexandria.

The structure in CIF format:
```
data_AcSn4Au
_chemical_formula_sum 'Ac4 Sn16 Au4'
_cell_length_a 8.806
_cell_length_b 8.806
_cell_length_c 8.806
_cell_angle_alpha 90.00
_cell_angle_beta 90.00
_cell_angle_gamma 90.00
_space_group_name_H-M_alt 'F -4 3 m'
_space_group_IT_number 216
_space_group_name_Hall 'F -4 2 3'
loop_
_atom_site_label
_atom_site_type_symbol
_atom_site_fract_x
_atom_site_fract_y
_atom_site_fract_z
_atom_site_occupancy
Ac1 Ac 0.000 0.000 0.000 1
Sn1 Sn 0.124 0.124 0.376 1
Au1 Au 0.250 0.250 0.750 1
```

ΔH_f (0 K): -1.15 eV per formula unit
density of states at the Fermi level: 24.61 states/eV per cell
ρ: 8.743 g cm⁻³
total moment: 0.000 μB per formula unit
energy: -4.091 eV per atom
crystal system: cubic



(5)
The following is a GGA-PBE calculation of a relaxed structure of Ac6SnAu5, from Alexandria.

The structure in CIF format:
```
data_Ac6SnAu5
_chemical_formula_sum 'Ac12 Sn2 Au10'
_cell_length_a 9.672
_cell_length_b 16.715
_cell_length_c 5.552
_cell_angle_alpha 90.00
_cell_angle_beta 124.98
_cell_angle_gamma 90.00
_space_group_name_H-M_alt 'C 1 2/m 1'
_space_group_IT_number 12
loop_
_space_group_symop_operation_xyz
'x,y,z'
'-x,-y,-z'
'-x,y,-z'
'x,-y,z'
'x+1/2,y+1/2,z'
'-x+1/2,-y+1/2,-z'
'-x+1/2,y+1/2,-z'
'x+1/2,-y+1/2,z'
loop_
_atom_site_label
_atom_site_type_symbol
_atom_site_fract_x
_atom_site_fract_y
_atom_site_fract_z
_atom_site_occupancy
Ac1 Ac 0.241 0.000 0.241 1
Ac2 Ac 0.246 0.170 0.746 1
Sn1 Sn 0.000 0.500 0.000 1
Au1 Au 0.000 0.000 0.500 1
Au2 Au 0.000 0.167 0.000 1
Au3 Au 0.000 0.337 0.500 1
```

ΔH_f (0 K): -8.97 eV per formula unit
density of states at the Fermi level: 14.85 states/eV per cell
ρ: 11.133 g cm⁻³
total moment: 0.000 μB per formula unit
energy: -4.501 eV per atom
crystal system: monoclinic



(6)
The following is a GGA-PBE calculation of a relaxed structure of Ac3Sn4Au3, from Alexandria.

The structure in CIF format:
```
data_Ac3Sn4Au3
_chemical_formula_sum 'Ac12 Sn16 Au12'
_cell_length_a 10.500
_cell_length_b 10.500
_cell_length_c 10.500
_cell_angle_alpha 90.00
_cell_angle_beta 90.00
_cell_angle_gamma 90.00
_space_group_name_H-M_alt 'I -4 3 d'
_space_group_IT_number 220
_space_group_name_Hall 'I -4bd 2c 3'
loop_
_atom_site_label
_atom_site_type_symbol
_atom_site_fract_x
_atom_site_fract_y
_atom_site_fract_z
_atom_site_occupancy
Ac1 Ac 0.000 0.250 0.375 1
Sn1 Sn 0.083 0.083 0.083 1
Au1 Au 0.000 0.250 0.875 1
```

ΔH_f (0 K): -7.15 eV per formula unit
density of states at the Fermi level: 39.70 states/eV per cell
ρ: 10.023 g cm⁻³
total moment: 0.000 μB per formula unit
energy: -4.532 eV per atom
crystal system: cubic



(7)
The following is a GGA-PBE calculation of a relaxed structure of Ac6Sn5Au, from Alexandria.

The structure in CIF format:
```
data_Ac6Sn5Au
_chemical_formula_sum 'Ac12 Sn10 Au2'
_cell_length_a 10.390
_cell_length_b 16.584
_cell_length_c 5.497
_cell_angle_alpha 90.00
_cell_angle_beta 121.89
_cell_angle_gamma 90.00
_space_group_name_H-M_alt 'C 1 2/m 1'
_space_group_IT_number 12
loop_
_space_group_symop_operation_xyz
'x,y,z'
'-x,-y,-z'
'-x,y,-z'
'x,-y,z'
'x+1/2,y+1/2,z'
'-x+1/2,-y+1/2,-z'
'-x+1/2,y+1/2,-z'
'x+1/2,-y+1/2,z'
loop_
_atom_site_label
_atom_site_type_symbol
_atom_site_fract_x
_atom_site_fract_y
_atom_site_fract_z
_atom_site_occupancy
Ac1 Ac 0.233 0.000 0.233 1
Ac2 Ac 0.242 0.167 0.742 1
Sn1 Sn 0.000 0.171 0.000 1
Sn2 Sn 0.000 0.344 0.500 1
Sn3 Sn 0.000 0.500 0.000 1
Au1 Au 0.000 0.000 0.500 1
```

ΔH_f (0 K): -7.55 eV per formula unit
density of states at the Fermi level: 19.02 states/eV per cell
ρ: 8.890 g cm⁻³
total moment: 0.000 μB per formula unit
energy: -4.624 eV per atom
crystal system: monoclinic



(8)
The following is a GGA-PBE calculation of a relaxed structure of SrAcSnAu, from Alexandria.

The structure in CIF format:
```
data_SrAcSnAu
_chemical_formula_sum 'Sr4 Ac4 Sn4 Au4'
_cell_length_a 7.984
_cell_length_b 7.984
_cell_length_c 7.984
_cell_angle_alpha 90.00
_cell_angle_beta 90.00
_cell_angle_gamma 90.00
_space_group_name_H-M_alt 'F -4 3 m'
_space_group_IT_number 216
_space_group_name_Hall 'F -4 2 3'
loop_
_atom_site_label
_atom_site_type_symbol
_atom_site_fract_x
_atom_site_fract_y
_atom_site_fract_z
_atom_site_occupancy
Sr1 Sr 0.000 0.000 0.000 1
Ac1 Ac 0.000 0.000 0.500 1
Sn1 Sn 0.250 0.250 0.750 1
Au1 Au 0.250 0.250 0.250 1
```

ΔH_f (0 K): -2.95 eV per formula unit
density of states at the Fermi level: 3.08 states/eV per cell
ρ: 8.226 g cm⁻³
total moment: 0.000 μB per formula unit
energy: -4.005 eV per atom
crystal system: cubic



(9)
The following is a GGA-PBE calculation of a relaxed structure of Ac2TbSn3Au4, from Alexandria.

The structure in CIF format:
```
data_Ac2TbSn3Au4
_chemical_formula_sum 'Ac2 Tb1 Sn3 Au4'
_cell_length_a 4.735
_cell_length_b 4.735
_cell_length_c 11.882
_cell_angle_alpha 90.00
_cell_angle_beta 90.00
_cell_angle_gamma 90.00
_space_group_name_H-M_alt 'P -4 m 2'
_space_group_IT_number 115
loop_
_space_group_symop_operation_xyz
'x,y,z'
'y,-x,-z'
'-x,-y,z'
'-y,x,-z'
'-x,y,z'
'-y,-x,-z'
'x,-y,z'
'y,x,-z'
loop_
_atom_site_label
_atom_site_type_symbol
_atom_site_fract_x
_atom_site_fract_y
_atom_site_fract_z
_atom_site_occupancy
Ac1 Ac 0.000 0.500 0.220 1
Tb1 Tb 0.000 0.000 0.500 1
Sn1 Sn 0.000 0.500 0.872 1
Sn2 Sn 0.500 0.500 0.500 1
Au1 Au 0.000 0.000 0.000 1
Au2 Au 0.000 0.500 0.644 1
Au3 Au 0.500 0.500 0.000 1
```

ΔH_f (0 K): -6.94 eV per formula unit
density of states at the Fermi level: 5.09 states/eV per cell
ρ: 10.952 g cm⁻³
total moment: 0.000 μB per formula unit
energy: -4.490 eV per atom
crystal system: tetragonal



(10)
The following is a GGA-PBE calculation of a relaxed structure of Ac2TbSn4Au3, from Alexandria.

The structure in CIF format:
```
data_Ac2TbSn4Au3
_chemical_formula_sum 'Ac2 Tb1 Sn4 Au3'
_cell_length_a 4.690
_cell_length_b 4.690
_cell_length_c 12.468
_cell_angle_alpha 90.00
_cell_angle_beta 90.00
_cell_angle_gamma 90.00
_space_group_name_H-M_alt 'P -4 m 2'
_space_group_IT_number 115
loop_
_space_group_symop_operation_xyz
'x,y,z'
'y,-x,-z'
'-x,-y,z'
'-y,x,-z'
'-x,y,z'
'-y,-x,-z'
'x,-y,z'
'y,x,-z'
loop_
_atom_site_label
_atom_site_type_symbol
_atom_site_fract_x
_atom_site_fract_y
_atom_site_fract_z
_atom_site_occupancy
Ac1 Ac 0.000 0.500 0.237 1
Tb1 Tb 0.000 0.000 0.500 1
Sn1 Sn 0.000 0.000 0.000 1
Sn2 Sn 0.000 0.500 0.650 1
Sn3 Sn 0.500 0.500 0.000 1
Au1 Au 0.000 0.500 0.868 1
Au2 Au 0.500 0.500 0.500 1
```

ΔH_f (0 K): -6.52 eV per formula unit
density of states at the Fermi level: 3.06 states/eV per cell
ρ: 10.163 g cm⁻³
total moment: 0.000 μB per formula unit
energy: -4.521 eV per atom
crystal system: tetragonal